The following is a PBE calculation of a relaxed structure of Ba4TcAu, from Alexandria.

Properties
Its total energy is -2.52 eV per atom. For the total moment, the calculation gives 2.1 μB per cell. The value obtained for the volume is 40.1 Å³/atom. Its space-group type is F-43m. Its formation enthalpy at 0 K is 99.5 kJ per mole of atoms.

a = 6.9818 Å, b = 6.9818 Å, c = 6.9818 Å
α = 60.00°, β = 60.00°, γ = 60.00°
Sites, in units of the cell vectors:
Ba: 0.1249 0.1249 0.1249
Ba: 0.1249 0.1249 0.6253
Ba: 0.1249 0.6253 0.1249
Ba: 0.6253 0.1249 0.1249
Tc: 0.7500 0.7500 0.7500
Au: 0.5000 0.5000 0.5000

The following is a PBE calculation of a relaxed structure of BaTcAu, from Alexandria.

Properties
Its total energy is -3.87 eV per atom. For the total moment, the calculation gives 4.0 μB per cell. The value obtained for the volume is 34.2 Å³/atom. Its space-group type is F-43m. Its formation enthalpy at 0 K is 127.0 kJ per mole of atoms. As for the energy relative to the lowest polymorph listed for this composition: 945 meV per atom.

a = 5.2556 Å, b = 5.2556 Å, c = 5.2556 Å
α = 60.00°, β = 60.00°, γ = 60.00°
Sites, in units of the cell vectors:
Ba: 0.0000 0.0000 0.0000
Tc: 0.7500 0.7500 0.7500
Au: 0.2500 0.2500 0.2500

The following is a PBE calculation of a relaxed structure of Ba3Te12Au5, from Alexandria.

Properties
Its total energy is -3.35 eV per atom. For the total moment, the calculation gives 0.0 μB per cell. The value obtained for the volume is 35.9 Å³/atom. Its space-group type is Ia-3d. The value obtained for the energy relative to the elements, uncorrected is -0.36 eV per atom.

a = 15.5081 Å, b = 15.5081 Å, c = 15.5081 Å
α = 109.47°, β = 109.47°, γ = 109.47°
Sites, in units of the cell vectors:
Ba: 0.1250 0.2500 0.3750
Ba: 0.1250 0.3750 0.7500
Ba: 0.2500 0.3750 0.1250
Ba: 0.2500 0.8750 0.6250
Ba: 0.3750 0.1250 0.2500
Ba: 0.3750 0.7500 0.1250
Ba: 0.6250 0.2500 0.8750
Ba: 0.6250 0.8750 0.7500
Ba: 0.7500 0.1250 0.3750
Ba: 0.7500 0.6250 0.8750
Ba: 0.8750 0.6250 0.2500
Ba: 0.8750 0.7500 0.6250
Te: 0.0246 0.1985 0.1125
Te: 0.0246 0.3261 0.9121
Te: 0.0860 0.6985 0.6739
Te: 0.0860 0.8875 0.4121
Te: 0.0879 0.6125 0.4140
Te: 0.0879 0.9754 0.6739
Te: 0.1125 0.0246 0.1985
Te: 0.1125 0.5879 0.9140
Te: 0.1739 0.1985 0.5860
Te: 0.1739 0.4754 0.5879
Te: 0.1985 0.1125 0.0246
Te: 0.1985 0.5860 0.1739
Te: 0.3015 0.3261 0.9140
Te: 0.3015 0.4754 0.3875
Te: 0.3261 0.9121 0.0246
Te: 0.3261 0.9140 0.3015
Te: 0.3875 0.3015 0.4754
Te: 0.3875 0.5860 0.9121
Te: 0.4121 0.0860 0.8875
Te: 0.4121 0.8261 0.5246
Te: 0.4140 0.0879 0.6125
Te: 0.4140 0.8261 0.8015
Te: 0.4754 0.3875 0.3015
Te: 0.4754 0.5879 0.1739
Te: 0.5246 0.4121 0.8261
Te: 0.5246 0.6125 0.6985
Te: 0.5860 0.1739 0.1985
Te: 0.5860 0.9121 0.3875
Te: 0.5879 0.1739 0.4754
Te: 0.5879 0.9140 0.1125
Te: 0.6125 0.4140 0.0879
Te: 0.6125 0.6985 0.5246
Te: 0.6739 0.0860 0.6985
Te: 0.6739 0.0879 0.9754
Te: 0.6985 0.5246 0.6125
Te: 0.6985 0.6739 0.0860
Te: 0.8015 0.4140 0.8261
Te: 0.8015 0.8875 0.9754
Te: 0.8261 0.5246 0.4121
Te: 0.8261 0.8015 0.4140
Te: 0.8875 0.4121 0.0860
Te: 0.8875 0.9754 0.8015
Te: 0.9121 0.0246 0.3261
Te: 0.9121 0.3875 0.5860
Te: 0.9140 0.1125 0.5879
Te: 0.9140 0.3015 0.3261
Te: 0.9754 0.6739 0.0879
Te: 0.9754 0.8015 0.8875
Au: 0.0000 0.0000 0.0000
Au: 0.0000 0.0000 0.5000
Au: 0.0000 0.5000 0.0000
Au: 0.0000 0.5000 0.5000
Au: 0.1250 0.7500 0.8750
Au: 0.1250 0.8750 0.2500
Au: 0.2500 0.1250 0.8750
Au: 0.2500 0.6250 0.3750
Au: 0.3750 0.2500 0.6250
Au: 0.3750 0.6250 0.7500
Au: 0.5000 0.0000 0.0000
Au: 0.5000 0.0000 0.5000
Au: 0.5000 0.5000 0.0000
Au: 0.5000 0.5000 0.5000
Au: 0.6250 0.3750 0.2500
Au: 0.6250 0.7500 0.3750
Au: 0.7500 0.3750 0.6250
Au: 0.7500 0.8750 0.1250
Au: 0.8750 0.1250 0.7500
Au: 0.8750 0.2500 0.1250

The following is a PBE calculation of a relaxed structure of BaTeAu2, from Alexandria.

Properties
Its total energy is -3.58 eV per atom. For the total moment, the calculation gives 0.0 μB per cell. The value obtained for the volume is 32.3 Å³/atom. Its space-group type is Pm. The value obtained for the energy relative to the elements, uncorrected is -0.67 eV per atom.

a = 4.6158 Å, b = 4.7333 Å, c = 5.9166 Å
α = 90.00°, β = 90.24°, γ = 90.00°
Sites, in units of the cell vectors:
Ba: 0.0000 0.0000 0.0000
Te: 0.4991 0.5000 0.7490
Au: 0.5008 0.0000 0.4632
Au: 0.5009 0.5000 0.2255

The following is a PBE calculation of a relaxed structure of Ba2TeAu, from Alexandria.

Properties
Its total energy is -3.75 eV per atom. For the total moment, the calculation gives 0.0 μB per cell. The value obtained for the volume is 40.2 Å³/atom. Its space-group type is Cmcm. The value obtained for the energy relative to the elements, uncorrected is -1.18 eV per atom.

a = 13.5437 Å, b = 13.5437 Å, c = 5.0651 Å
α = 90.00°, β = 90.00°, γ = 159.75°
Sites, in units of the cell vectors:
Ba: 0.0587 0.9413 0.7500
Ba: 0.3197 0.6803 0.7500
Ba: 0.6803 0.3197 0.2500
Ba: 0.9413 0.0587 0.2500
Te: 0.1881 0.8119 0.7500
Te: 0.8119 0.1881 0.2500
Au: 0.4625 0.5375 0.7500
Au: 0.5375 0.4625 0.2500

The following is a PBE calculation of a relaxed structure of BaTeAu2, from Alexandria.

Properties
Its total energy is -3.33 eV per atom. For the total moment, the calculation gives 0.0 μB per cell. The value obtained for the volume is 30.4 Å³/atom. Its space-group type is Pmm2. The value obtained for the energy relative to the elements, uncorrected is -0.42 eV per atom.

a = 3.4565 Å, b = 4.3789 Å, c = 8.0406 Å
α = 90.00°, β = 90.00°, γ = 90.00°
Sites, in units of the cell vectors:
Ba: 0.0000 0.0000 0.0000
Te: 0.5000 0.5000 0.2519
Au: 0.0000 0.0000 0.6195
Au: 0.5000 0.5000 0.6539

- The highest total moment belongs to which entry?
  BaTcAu